Computed, not measured: a geometry-optimized Al7Ir structure at the GGA-PBE level of DFT.

The formation energy from the elements comes out at -1.8 eV per formula unit.

Unit cell a=5.5861 b=5.5861 c=5.5861 alpha=60.00 beta=60.00 gamma=60.00
Element x y z (fractional)
Al1 0.5000 0.5000 0.0000
Al2 0.5000 0.0000 0.5000
Al3 0.5000 0.0000 0.0000
Al4 0.0000 0.0000 0.5000
Al5 0.0000 0.5000 0.0000
Al6 0.0000 0.5000 0.5000
Al7 0.5000 0.5000 0.5000
Ir1 0.0000 0.0000 0.0000

***

Computed, not measured: a geometry-optimized AlIr5 structure at the GGA-PBE level of DFT.

Its excess energy over the best structure of this formula in the dataset is 11.8 meV/atom. The formation energy from the elements comes out at -1.3 eV per formula unit.

Unit cell a=2.7615 b=2.7615 c=11.3021 alpha=90.00 beta=90.00 gamma=90.00
Element x y z (fractional)
Al1 0.5000 0.5000 0.0000
Ir1 0.0000 0.0000 0.8407
Ir2 0.0000 0.0000 0.1593
Ir3 0.5000 0.5000 0.6693
Ir4 0.5000 0.5000 0.3307
Ir5 0.0000 0.0000 0.5000

***

Computed, not measured: a geometry-optimized Al4Ir3 structure at the GGA-PBE level of DFT.

Its excess energy over the best structure of this formula in the dataset is 230.7 meV/atom. The formation energy from the elements comes out at -4.3 eV per formula unit.

Unit cell a=10.0257 b=10.0257 c=10.0257 alpha=161.45 beta=161.45 gamma=26.35
Element x y z (fractional)
Al1 0.8536 0.8536 0.0000
Al2 0.1464 0.1464 0.0000
Al3 0.5684 0.5684 0.0000
Al4 0.4316 0.4316 0.0000
Ir1 0.0000 0.0000 0.0000
Ir2 0.6997 0.6997 0.0000
Ir3 0.3003 0.3003 0.0000

***

Computed, not measured: a geometry-optimized AlIr5 structure at the GGA-PBE level of DFT.

Its excess energy over the best structure of this formula in the dataset is 66.2 meV/atom. The formation energy from the elements comes out at -1.0 eV per formula unit.

Unit cell a=7.1956 b=7.1956 c=4.4171 alpha=90.00 beta=90.00 gamma=157.70
Element x y z (fractional)
Al1 0.9989 0.0011 0.0000
Ir1 0.3359 0.6641 0.0000
Ir2 0.6620 0.3380 0.0000
Ir3 0.4456 0.5544 0.5000
Ir4 0.7800 0.2200 0.5000
Ir5 0.1109 0.8891 0.5000

***

Computed, not measured: a geometry-optimized Al4Ir structure at the GGA-PBE level of DFT.

Its excess energy over the best structure of this formula in the dataset is 681.9 meV/atom. The formation energy from the elements comes out at 0.9 eV per formula unit.

Unit cell a=7.1441 b=7.1441 c=7.1441 alpha=151.43 beta=151.43 gamma=40.85
Element x y z (fractional)
Al1 0.7500 0.2500 0.5000
Al2 0.2500 0.7500 0.5000
Al3 0.5933 0.5933 0.0000
Al4 0.4067 0.4067 0.0000
Ir1 0.0000 0.0000 0.0000

***

Computed, not measured: a geometry-optimized Al5Ir4 structure at the GGA-PBE level of DFT.

Its excess energy over the best structure of this formula in the dataset is 0.0 meV/atom. The formation energy from the elements comes out at -5.7 eV per formula unit.

Unit cell a=7.4842 b=7.4842 c=5.4023 alpha=90.00 beta=90.00 gamma=120.00
Element x y z (fractional)
Ir1 0.0000 0.0000 0.0000
Ir2 0.0000 0.0000 0.5000
Ir3 0.0000 0.3792 0.2500
Ir4 0.6208 0.6208 0.2500
Ir5 0.3792 0.0000 0.2500
Ir6 0.0000 0.6208 0.7500
Ir7 0.3792 0.3792 0.7500
Ir8 0.6208 0.0000 0.7500
Al1 0.0000 0.7089 0.2500
Al2 0.2911 0.2911 0.2500
Al3 0.7089 0.0000 0.2500
Al4 0.0000 0.2911 0.7500
Al5 0.7089 0.7089 0.7500
Al6 0.2911 0.0000 0.7500
Al7 0.6667 0.3333 0.0000
Al8 0.3333 0.6667 0.5000
Al9 0.3333 0.6667 0.0000
Al10 0.6667 0.3333 0.5000